This record from Alexandria describes an optimized crystal structure of NdEr2PuBi4. The functional is GGA-PBE.

Results
density	9.95	g/cm³
ΔH_f (0 K)	-0.72	eV per atom
magnetic moment	5.16	μB/f.u.
space group	P2/m (10)

a b c (Å): 4.518 7.809 7.822
angles (deg): 70.53 90.00 90.00
Each line ends with the local moment (μB).
Sites, in units of the cell vectors:
Pu  0.500  0.500  0.000  5.31
Bi  0.500  0.241  0.756  -0.04
Er  0.000  0.000  0.000  -0.02
Nd  0.000  0.500  0.500  0.00
Er  0.500  0.000  0.500  -0.07
Bi  0.500  0.759  0.244  -0.04
Bi  0.000  0.757  0.750  -0.08
Bi  0.000  0.243  0.250  -0.08